No. 1
# Er3Zn8, optimized geometry, DFT GGA-PBE
# Total magnetization: 0.00 μB per cell
# Theoretical density: 8.172 g/cm³
# Formation energy: -0.335 eV per atom
# Final energy: -55.13 eV/cell
data_Er3Zn8
_chemical_formula_sum 'Er6 Zn16'
_cell_length_a 3.4989
_cell_length_b 4.4162
_cell_length_c 26.9603
_cell_angle_alpha 90.00
_cell_angle_beta 90.00
_cell_angle_gamma 90.00
_symmetry_space_group_name_H-M 'I m m m'
_symmetry_Int_Tables_number 71
_symmetry_space_group_name_Hall '-I 2 2'
loop_
_atom_site_label
_atom_site_type_symbol
_atom_site_fract_x
_atom_site_fract_y
_atom_site_fract_z
Er1 Er 0.0000 0.0000 0.0000
Er2 Er 0.0000 0.5000 0.1437
Zn1 Zn 0.0000 0.0000 0.2595
Zn2 Zn 0.0000 0.0000 0.4523
Zn3 Zn 0.0000 0.5000 0.3126
Zn4 Zn 0.0000 0.5000 0.4062

No. 2
# Er3Zn2, optimized geometry, DFT GGA-PBE
# Total magnetization: 0.00 μB per cell
# Theoretical density: 8.785 g/cm³
# Formation energy: -0.274 eV per atom
# Final energy: -35.21 eV/cell
# Energy above the most stable polymorph in this dataset: 0.0 kJ per mole of atoms
data_Er3Zn2
_chemical_formula_sum 'Er6 Zn4'
_cell_length_a 3.5308
_cell_length_b 3.5308
_cell_length_c 19.1824
_cell_angle_alpha 90.00
_cell_angle_beta 90.00
_cell_angle_gamma 90.00
_symmetry_space_group_name_H-M 'P 4/m m m'
_symmetry_Int_Tables_number 123
_symmetry_space_group_name_Hall '-P 4 2'
loop_
_atom_site_label
_atom_site_type_symbol
_atom_site_fract_x
_atom_site_fract_y
_atom_site_fract_z
Er1 Er 0.0000 0.0000 0.0000
Er2 Er 0.0000 0.0000 0.1842
Er3 Er 0.0000 0.0000 0.3687
Er4 Er 0.5000 0.5000 0.5000
Zn1 Zn 0.5000 0.5000 0.0931
Zn2 Zn 0.5000 0.5000 0.2765

No. 3
# Er5Zn, optimized geometry, DFT GGA-PBE
# Total magnetization: 0.00 μB per cell
# Theoretical density: 9.056 g/cm³
# Formation energy: -0.005 eV per atom
# Final energy: -48.24 eV/cell
# Energy above the most stable polymorph in this dataset: 0.0 kJ per mole of atoms
data_Er5Zn
_chemical_formula_sum 'Er10 Zn2'
_cell_length_a 4.7445
_cell_length_b 14.6663
_cell_length_c 4.7522
_cell_angle_alpha 90.00
_cell_angle_beta 90.00
_cell_angle_gamma 90.00
_symmetry_space_group_name_H-M 'C m m m'
_symmetry_Int_Tables_number 65
_symmetry_space_group_name_Hall '-C 2 2'
loop_
_atom_site_label
_atom_site_type_symbol
_atom_site_fract_x
_atom_site_fract_y
_atom_site_fract_z
Er1 Er 0.0000 0.0000 0.0000
Er2 Er 0.0000 0.1607 0.5000
Er3 Er 0.0000 0.3333 0.0000
Zn1 Zn 0.0000 0.5000 0.5000

No. 4
# Er2Zn17, optimized geometry, DFT GGA-PBE
# Total magnetization: 0.00 μB per cell
# Theoretical density: 7.927 g/cm³
# Formation energy: -0.220 eV per atom
# Final energy: -104.87 eV/cell
data_Er2Zn17
_chemical_formula_sum 'Er6 Zn51'
_cell_length_a 8.9380
_cell_length_b 8.9380
_cell_length_c 13.1385
_cell_angle_alpha 90.00
_cell_angle_beta 90.00
_cell_angle_gamma 120.00
_symmetry_space_group_name_H-M 'R -3 m'
_symmetry_Int_Tables_number 166
_symmetry_space_group_name_Hall '-R 3 2"'
loop_
_atom_site_label
_atom_site_type_symbol
_atom_site_fract_x
_atom_site_fract_y
_atom_site_fract_z
Er1 Er 0.0000 0.0000 0.1649
Zn1 Zn 0.0000 0.0000 0.4000
Zn2 Zn 0.0000 0.2983 0.5000
Zn3 Zn 0.0000 0.5000 0.0000
Zn4 Zn 0.0104 0.5052 0.6522